Record 1
First-principles (PBE) data for FeSi2Tc after structural relaxation, as listed in Alexandria via LeMat-Bulk.

As for the crystal system: tetragonal. As for the space group: I-4m2 (119). The value obtained for the size of the total moment is 1.52 μB/f.u. The formation energy from raw total energies is -0.18 eV per atom. The total energy comes out at -60.767 eV/cell.

Cell lengths 3.508, 3.508, 8.128 Å; angles 90.00, 90.00, 90.00 degrees
Element x y z (fractional)
Fe (0.000, 0.000, 0.000)
Fe (0.500, 0.500, 0.500)
Si (0.000, 0.000, 0.500)
Si (0.000, 0.500, 0.750)
Si (0.500, 0.000, 0.250)
Si (0.500, 0.500, 0.000)
Tc (0.000, 0.500, 0.250)
Tc (0.500, 0.000, 0.750)

Record 2
First-principles (PBE) data for Fe3SiTc after structural relaxation, as listed in Alexandria via LeMat-Bulk.

As for the crystal system: cubic. As for the space group: Pm-3m (221). The value obtained for the size of the total moment is 5.72 μB/f.u. The formation energy from raw total energies is 1.55 eV per atom. The total energy comes out at -33.423 eV/cell.

Cell lengths 4.448, 4.448, 4.448 Å; angles 90.00, 90.00, 90.00 degrees
Element x y z (fractional)
Fe (0.000, 0.000, 0.500)
Fe (0.000, 0.500, 0.000)
Fe (0.500, 0.000, 0.000)
Si (0.500, 0.500, 0.500)
Tc (0.000, 0.000, 0.000)

Record 3
First-principles (PBE) data for Fe2SiTc after structural relaxation, as listed in Alexandria via LeMat-Bulk.

As for the crystal system: tetragonal. As for the space group: I4/mmm (139). The value obtained for the size of the total moment is 2.77 μB/f.u. The formation energy from raw total energies is -0.12 eV per atom. The total energy comes out at -66.408 eV/cell.

Cell lengths 3.590, 3.590, 7.457 Å; angles 90.00, 90.00, 90.00 degrees
Element x y z (fractional)
Fe (0.000, 0.500, 0.250)
Fe (0.000, 0.500, 0.750)
Fe (0.500, 0.000, 0.250)
Fe (0.500, 0.000, 0.750)
Si (0.000, 0.000, 0.000)
Si (0.500, 0.500, 0.500)
Tc (0.000, 0.000, 0.500)
Tc (0.500, 0.500, 0.000)

Record 4
First-principles (PBE) data for FeSi3Tc after structural relaxation, as listed in Alexandria via LeMat-Bulk.

As for the crystal system: cubic. As for the space group: Pm-3m (221). The value obtained for the size of the total moment is 2.38 μB/f.u. The formation energy from raw total energies is 0.74 eV per atom. The total energy comes out at -31.412 eV/cell.

Cell lengths 4.275, 4.275, 4.275 Å; angles 90.00, 90.00, 90.00 degrees
Element x y z (fractional)
Fe (0.000, 0.000, 0.000)
Si (0.000, 0.000, 0.500)
Si (0.000, 0.500, 0.000)
Si (0.500, 0.000, 0.000)
Tc (0.500, 0.500, 0.500)

Record 5
First-principles (PBE) data for FeSi2Tc after structural relaxation, as listed in Alexandria via LeMat-Bulk.

As for the crystal system: tetragonal. As for the space group: I-42d (122). The value obtained for the size of the total moment is 1.02 μB/f.u. The formation energy from raw total energies is 0.27 eV per atom. The total energy comes out at -114.418 eV/cell.

Cell lengths 6.264, 6.264, 5.654 Å; angles 90.00, 90.00, 90.00 degrees
Element x y z (fractional)
Fe (0.000, 0.000, 0.000)
Fe (0.000, 0.500, 0.250)
Fe (0.500, 0.000, 0.750)
Fe (0.500, 0.500, 0.500)
Si (0.225, 0.750, 0.125)
Si (0.250, 0.225, 0.875)
Si (0.250, 0.275, 0.375)
Si (0.275, 0.750, 0.625)
Si (0.725, 0.250, 0.625)
Si (0.750, 0.725, 0.375)
Si (0.750, 0.775, 0.875)
Si (0.775, 0.250, 0.125)
Tc (0.000, 0.000, 0.500)
Tc (0.000, 0.500, 0.750)
Tc (0.500, 0.000, 0.250)
Tc (0.500, 0.500, 0.000)

Record 6
First-principles (PBE) data for Fe2SiTc after structural relaxation, as listed in Alexandria via LeMat-Bulk.

As for the crystal system: tetragonal. As for the space group: P4mm (99). The value obtained for the size of the total moment is 3.30 μB/f.u. The formation energy from raw total energies is -0.20 eV per atom. The total energy comes out at -33.496 eV/cell.

Cell lengths 2.903, 2.903, 5.731 Å; angles 90.00, 90.00, 90.00 degrees
Element x y z (fractional)
Fe (0.000, 0.000, 0.000)
Fe (0.500, 0.500, 0.239)
Si (0.000, 0.000, 0.460)
Tc (0.500, 0.500, 0.729)

Record 7
First-principles (PBE) data for FeSi2Tc after structural relaxation, as listed in Alexandria via LeMat-Bulk.

As for the crystal system: tetragonal. As for the space group: P4mm (99). The value obtained for the size of the total moment is 0.00 μB/f.u. The formation energy from raw total energies is -0.01 eV per atom. The total energy comes out at -29.702 eV/cell.

Cell lengths 2.654, 2.654, 7.409 Å; angles 90.00, 90.00, 90.00 degrees
Element x y z (fractional)
Fe (0.000, 0.000, 0.000)
Si (0.000, 0.000, 0.514)
Si (0.500, 0.500, 0.208)
Tc (0.500, 0.500, 0.772)

Record 8
First-principles (PBE) data for Fe2SiTc after structural relaxation, as listed in Alexandria via LeMat-Bulk.

As for the crystal system: monoclinic. As for the space group: Pm (6). The value obtained for the size of the total moment is 4.28 μB/f.u. The formation energy from raw total energies is -0.09 eV per atom. The total energy comes out at -33.070 eV/cell.

Cell lengths 2.629, 3.976, 4.822 Å; angles 90.00, 98.06, 90.00 degrees
Element x y z (fractional)
Fe (0.000, 0.000, 0.000)
Fe (0.289, 0.500, 0.795)
Si (0.000, 0.500, 0.276)
Tc (0.592, 0.000, 0.498)

Record 9
First-principles (PBE) data for Fe2SiTc after structural relaxation, as listed in Alexandria via LeMat-Bulk.

As for the crystal system: orthorhombic. As for the space group: Immm (71). The value obtained for the size of the total moment is 2.78 μB/f.u. The formation energy from raw total energies is -0.22 eV per atom. The total energy comes out at -67.197 eV/cell.

Cell lengths 2.928, 3.991, 8.193 Å; angles 90.00, 90.00, 90.00 degrees
Element x y z (fractional)
Fe (0.000, 0.000, 0.239)
Fe (0.000, 0.000, 0.761)
Fe (0.500, 0.500, 0.261)
Fe (0.500, 0.500, 0.739)
Si (0.000, 0.500, 0.500)
Si (0.500, 0.000, 0.000)
Tc (0.000, 0.500, 0.000)
Tc (0.500, 0.000, 0.500)

Record 10
First-principles (PBE) data for Fe2SiTc after structural relaxation, as listed in Alexandria via LeMat-Bulk.

As for the crystal system: orthorhombic. As for the space group: Cmmm (65). The value obtained for the size of the total moment is 1.32 μB/f.u. The formation energy from raw total energies is -0.06 eV per atom. The total energy comes out at -65.884 eV/cell.

Cell lengths 5.198, 6.862, 2.662 Å; angles 90.00, 90.00, 90.00 degrees
Element x y z (fractional)
Fe (0.250, 0.250, 0.000)
Fe (0.250, 0.750, 0.000)
Fe (0.750, 0.250, 0.000)
Fe (0.750, 0.750, 0.000)
Si (0.000, 0.000, 0.500)
Si (0.500, 0.500, 0.500)
Tc (0.000, 0.500, 0.500)
Tc (0.500, 0.000, 0.500)

Record 11
First-principles (PBE) data for Fe2SiTc after structural relaxation, as listed in Alexandria via LeMat-Bulk.

As for the crystal system: orthorhombic. As for the space group: Imm2 (44). The value obtained for the size of the total moment is 1.93 μB/f.u. The formation energy from raw total energies is -0.16 eV per atom. The total energy comes out at -66.714 eV/cell.

Cell lengths 2.919, 4.056, 8.066 Å; angles 90.00, 90.00, 90.00 degrees
Element x y z (fractional)
Fe (0.000, 0.000, 0.000)
Fe (0.000, 0.500, 0.243)
Fe (0.500, 0.000, 0.743)
Fe (0.500, 0.500, 0.500)
Si (0.000, 0.500, 0.730)
Si (0.500, 0.000, 0.230)
Tc (0.000, 0.000, 0.480)
Tc (0.500, 0.500, 0.980)

Record 12
First-principles (PBE) data for Fe5Si12Tc3 after structural relaxation, as listed in Alexandria via LeMat-Bulk.

As for the crystal system: cubic. As for the space group: Ia-3d (230). The value obtained for the size of the total moment is 6.60 μB/f.u. The formation energy from raw total energies is 0.25 eV per atom. The total energy comes out at -533.662 eV/cell.

Cell lengths 11.890, 11.890, 11.890 Å; angles 109.47, 109.47, 109.47 degrees
Element x y z (fractional)
Fe (0.000, 0.000, 0.000)
Fe (0.000, 0.000, 0.500)
Fe (0.000, 0.500, 0.000)
Fe (0.000, 0.500, 0.500)
Fe (0.125, 0.750, 0.875)
Fe (0.125, 0.875, 0.250)
Fe (0.250, 0.125, 0.875)
Fe (0.250, 0.625, 0.375)
Fe (0.375, 0.250, 0.625)
Fe (0.375, 0.625, 0.750)
Fe (0.500, 0.000, 0.000)
Fe (0.500, 0.000, 0.500)
Fe (0.500, 0.500, 0.000)
Fe (0.500, 0.500, 0.500)
Fe (0.625, 0.375, 0.250)
Fe (0.625, 0.750, 0.375)
Fe (0.750, 0.375, 0.625)
Fe (0.750, 0.875, 0.125)
Fe (0.875, 0.125, 0.750)
Fe (0.875, 0.250, 0.125)
Si (0.062, 0.225, 0.139)
Si (0.062, 0.336, 0.923)
Si (0.077, 0.639, 0.413)
Si (0.077, 0.938, 0.664)
Si (0.087, 0.725, 0.664)
Si (0.087, 0.861, 0.423)
Si (0.139, 0.062, 0.225)
Si (0.139, 0.577, 0.913)
Si (0.164, 0.225, 0.587)
Si (0.164, 0.438, 0.577)
Si (0.225, 0.139, 0.062)
Si (0.225, 0.587, 0.164)
Si (0.275, 0.336, 0.913)
Si (0.275, 0.438, 0.361)
Si (0.336, 0.913, 0.275)
Si (0.336, 0.923, 0.062)
Si (0.361, 0.275, 0.438)
Si (0.361, 0.587, 0.923)
Si (0.413, 0.077, 0.639)
Si (0.413, 0.836, 0.775)
Si (0.423, 0.087, 0.861)
Si (0.423, 0.836, 0.562)
Si (0.438, 0.361, 0.275)
Si (0.438, 0.577, 0.164)
Si (0.562, 0.423, 0.836)
Si (0.562, 0.639, 0.725)
Si (0.577, 0.164, 0.438)
Si (0.577, 0.913, 0.139)
Si (0.587, 0.164, 0.225)
Si (0.587, 0.923, 0.361)
Si (0.639, 0.413, 0.077)
Si (0.639, 0.725, 0.562)
Si (0.664, 0.077, 0.938)
Si (0.664, 0.087, 0.725)
Si (0.725, 0.562, 0.639)
Si (0.725, 0.664, 0.087)
Si (0.775, 0.413, 0.836)
Si (0.775, 0.861, 0.938)
Si (0.836, 0.562, 0.423)
Si (0.836, 0.775, 0.413)
Si (0.861, 0.423, 0.087)
Si (0.861, 0.938, 0.775)
Si (0.913, 0.139, 0.577)
Si (0.913, 0.275, 0.336)
Si (0.923, 0.062, 0.336)
Si (0.923, 0.361, 0.587)
Si (0.938, 0.664, 0.077)
Si (0.938, 0.775, 0.861)
Tc (0.125, 0.250, 0.375)
Tc (0.125, 0.375, 0.750)
Tc (0.250, 0.375, 0.125)
Tc (0.250, 0.875, 0.625)
Tc (0.375, 0.125, 0.250)
Tc (0.375, 0.750, 0.125)
Tc (0.625, 0.250, 0.875)
Tc (0.625, 0.875, 0.750)
Tc (0.750, 0.125, 0.375)
Tc (0.750, 0.625, 0.875)
Tc (0.875, 0.625, 0.250)
Tc (0.875, 0.750, 0.625)

Among the records above, which one has the highest size of the total moment? Fe5Si12Tc3